Entry from Alexandria: a relaxed CeThSi crystal (GGA-PBE).

Output
DOS at the Fermi energy   5.63 states/eV per cell
Offset from the most stable computed form   111 kJ/mol of formula units

```
data_CeThSi
_symmetry_space_group_name_H-M 'P 3 m 1'
_symmetry_Int_Tables_number 156
_symmetry_space_group_name_Hall 'P 3 -2"'
_cell_length_a 4.5696
_cell_length_b 4.5696
_cell_length_c 4.1832
_cell_angle_alpha 90.00
_cell_angle_beta 90.00
_cell_angle_gamma 120.00
loop_
_atom_site_label
_atom_site_type_symbol
_atom_site_fract_x
_atom_site_fract_y
_atom_site_fract_z
Ce1 Ce 0.0000 0.0000 0.0000
Th1 Th 0.6667 0.3333 0.4096
Si1 Si 0.3333 0.6667 0.7166
```

Entry from Alexandria: a relaxed CaMnSeBr2 crystal (GGA-PBE).

Output
DOS at the Fermi energy   1.86 states/eV per cell
Offset from the most stable computed form   214 kJ/mol of formula units

```
data_CaMnSeBr2
_symmetry_space_group_name_H-M 'P 4/m m m'
_symmetry_Int_Tables_number 123
_symmetry_space_group_name_Hall '-P 4 2'
_cell_length_a 5.4027
_cell_length_b 5.4027
_cell_length_c 5.8044
_cell_angle_alpha 90.00
_cell_angle_beta 90.00
_cell_angle_gamma 90.00
loop_
_atom_site_label
_atom_site_type_symbol
_atom_site_fract_x
_atom_site_fract_y
_atom_site_fract_z
Ca1 Ca 0.0000 0.0000 0.0000
Mn1 Mn 0.5000 0.5000 0.5000
Se1 Se 0.0000 0.0000 0.5000
Br1 Br 0.0000 0.5000 0.0000
```

One value per record, in order, for calculated volume: 25.22; 33.89 Å³/atom.
One value per record, in order, for energy: -6.413; -4.044 eV per atom.